VASP calculation (PBE) on a relaxed structure of CaDyMgSc.

Cell: 7.748 7.748 7.748 Å, 90.00 90.00 90.00°
Space group F-43m (No. 216)
Unique sites:
Ca  0.000  0.000  0.000 (multiplicity 4)
Dy  0.000  0.000  0.500 (multiplicity 4)
Mg  0.250  0.250  0.250 (multiplicity 4)
Sc  0.250  0.250  0.750 (multiplicity 4)

## Properties
Energy of formation: 0.44 eV/f.u.
DOS at the Fermi energy: 3.0 states/eV/f.u.